Compound: LiCuTeN2
Source: Alexandria
Functional: PBE-GGA
Structure: relaxed

Unit cell a=3.880 b=3.880 c=5.620 alpha=90.00 beta=90.00 gamma=90.00
Space group P4/mmm (No. 123)
One atom of each set of equivalent atoms:
Li 0.000 0.000 0.000
Cu 0.500 0.500 0.500
Te 0.500 0.500 0.000
N 0.000 0.500 0.500

- magnetic moment (μB/cell) = 3.493
- density (g cm⁻³) = 4.437
- DOS(E_F) (states/eV per cell) = 3.5
- distance to the lowest polymorph of the same formula (meV per atom) = 0